No. 1
This record from Alexandria describes a relaxed Sr2Sn3PbAu4 crystal. The functional is GGA-PBE.

POSCAR file:
```
Sr2Sn3PbAu4
1.0
-3.551 1.570 2.832
-0.966 -4.526 1.298
7.402 0.934 8.764
Sr Sn Pb Au
2 3 1 4
Cartesian
-0.047 1.003 3.463 Sr
5.190 -1.547 7.366 Sr
3.701 0.467 4.382 Sn
4.714 1.604 9.100 Sn
0.430 -2.148 1.729 Sn
1.443 -1.011 6.447 Pb
-2.259 -1.478 2.065 Au
0.000 0.000 0.000 Au
2.989 1.386 7.057 Au
2.155 -1.930 3.772 Au
```

Calculated values
The crystal system is tetragonal.



No. 2
This record from Alexandria describes a relaxed ThSnPbAu crystal. The functional is GGA-PBE.

POSCAR file:
```
ThSnPbAu
1.0
5.339 0.000 0.000
2.669 4.624 0.000
2.669 1.541 4.359
Pb Au Sn Th
1 1 1 1
Cartesian
0.000 0.000 0.000 Pb
8.008 4.624 3.269 Au
2.669 1.541 1.090 Sn
5.339 3.082 2.180 Th
```

Calculated values
The crystal system is cubic.



No. 3
This record from Alexandria describes a relaxed Th2Sn2PbAu2 crystal. The functional is GGA-PBE.

POSCAR file:
```
Th2Sn2PbAu2
1.0
5.095 0.000 0.000
2.547 4.412 0.000
2.547 1.471 8.725
Th Sn Pb Au
2 2 1 2
Cartesian
2.547 1.471 5.368 Th
7.642 4.412 3.357 Th
7.642 4.412 7.000 Sn
2.547 1.471 1.724 Sn
0.000 0.000 0.000 Pb
5.095 2.942 2.870 Au
5.095 2.942 5.854 Au
```

Calculated values
The crystal system is trigonal.



The records above give, respectively, ΔE_f values of -12.08 -6.07 -6.04 kcal/mol of atoms.